Record 1
An optimized crystal structure of BaNbN2O. Source: the Open Quantum Materials Database, functional PBE.

Unit cell a=6.370 b=4.138 c=8.045 alpha=90.00 beta=111.81 gamma=90.00
Space group P2_1/m (No. 11)
Asymmetric unit:
Ba  0.230  0.250  0.298 (multiplicity 2)
Nb  0.360  0.250  0.852 (multiplicity 2)
N  0.428  0.750  0.877 (multiplicity 2)
N  0.462  0.250  0.656 (multiplicity 2)
O  0.044  0.250  0.789 (multiplicity 2)

Output
electronic total energy	-7.9280	eV/atom
density	4.63	g/cm3

***

Record 2
An optimized crystal structure of BaNbN2O. Source: the Open Quantum Materials Database, functional PBE.

Unit cell a=17.890 b=3.847 c=11.095 alpha=90.00 beta=124.39 gamma=90.00
Space group C2/c (No. 15)
Asymmetric unit:
Ba  0.074  0.007  0.182 (multiplicity 8)
Nb  0.192  0.498  0.553 (multiplicity 8)
N  0.066  0.487  0.951 (multiplicity 8)
N  0.242  0.251  0.749 (multiplicity 8)
O  0.195  0.002  0.472 (multiplicity 8)

Output
electronic total energy	-7.8582	eV/atom
density	5.78	g/cm3

***

Record 3
An optimized crystal structure of BaNbN2O. Source: the Open Quantum Materials Database, functional PBE.

Unit cell a=5.9406 b=5.9406 c=7.1955 alpha=90.00 beta=90.00 gamma=120.00
Space group P3_221 (No. 154)
Asymmetric unit:
Ba  0.0000  0.6753  0.3333 (multiplicity 3)
Nb  0.0000  0.6551  0.8333 (multiplicity 3)
N  0.1621  0.5027  0.6713 (multiplicity 6)
O  0.0000  0.1608  0.3333 (multiplicity 3)

Output
electronic total energy	-7.9931	eV/atom
density	6.21	g/cm3

***

Record 4
An optimized crystal structure of BaNbN2O. Source: the Open Quantum Materials Database, functional PBE.

Unit cell a=11.855 b=4.148 c=5.947 alpha=90.00 beta=90.00 gamma=90.00
Space group Pmma (No. 51)
Asymmetric unit:
Ba  0.000  0.000  0.000 (multiplicity 2)
Ba  0.250  0.000  0.473 (multiplicity 2)
Nb  0.000  0.500  0.500 (multiplicity 2)
Nb  0.250  0.500  0.971 (multiplicity 2)
N  0.000  0.000  0.500 (multiplicity 2)
N  0.125  0.500  0.751 (multiplicity 4)
N  0.250  0.000  0.992 (multiplicity 2)
O  0.125  0.500  0.254 (multiplicity 4)

Output
electronic total energy	-7.9806	eV/atom
density	6.23	g/cm3

***

Record 5
An optimized crystal structure of BaNbN2O. Source: the Open Quantum Materials Database, functional PBE.

Unit cell a=5.906 b=5.941 c=10.239 alpha=90.26 beta=106.69 gamma=119.78
Space group P1 (No. 1)
Asymmetric unit:
Ba  0.000  0.000  0.000 (multiplicity 1)
Ba  0.008  0.515  0.495 (multiplicity 1)
Ba  0.496  0.749  0.244 (multiplicity 1)
Ba  0.510  0.264  0.752 (multiplicity 1)
Nb  0.262  0.638  0.870 (multiplicity 1)
Nb  0.264  0.145  0.377 (multiplicity 1)
Nb  0.756  0.370  0.129 (multiplicity 1)
Nb  0.773  0.899  0.624 (multiplicity 1)
N  0.485  0.750  0.748 (multiplicity 1)
N  0.489  0.004  0.997 (multiplicity 1)
N  0.491  0.488  0.494 (multiplicity 1)
N  0.494  0.244  0.243 (multiplicity 1)
N  0.984  0.250  0.743 (multiplicity 1)
N  0.987  0.999  0.494 (multiplicity 1)
N  0.992  0.248  0.244 (multiplicity 1)
N  0.994  0.757  0.746 (multiplicity 1)
O  0.474  0.981  0.489 (multiplicity 1)
O  0.480  0.499  0.996 (multiplicity 1)
O  0.981  0.501  0.995 (multiplicity 1)
O  0.981  0.743  0.240 (multiplicity 1)

Output
electronic total energy	-7.9945	eV/atom
density	6.20	g/cm3

***

Record 6
An optimized crystal structure of Ba3NdN3. Source: the Open Quantum Materials Database, functional PBE.

Unit cell a=8.5449 b=8.5449 c=5.8412 alpha=90.00 beta=90.00 gamma=120.00
Space group P6_3/m (No. 176)
Asymmetric unit:
Ba  0.0812  0.3365  0.2500 (multiplicity 6)
Nd  0.3333  0.6667  0.7500 (multiplicity 2)
N  0.0998  0.3695  0.7500 (multiplicity 6)

Output
energy relative to the lowest polymorph listed for this composition	21.5	meV/atom
density	5.38	g/cm3